Entry 1:
PBE Mg3AlPd4, optimized geometry; energy of formation = -0.782 eV per atom
1.0
-1.0160 -4.2757 0.5504
3.6077 -0.5337 2.5136
-4.7128 3.8847 3.6578
Mg Al Pd
3 1 4
direct
0.0000 0.5000 0.0000
0.7494 0.2494 0.4988
0.2506 0.7506 0.5012
0.5000 0.0000 0.0000
0.3806 0.3809 0.7611
0.6194 0.6191 0.2389
0.1194 0.1196 0.2388
0.8806 0.8804 0.7612


Entry 2:
PBE Mg4AlPd5, optimized geometry; energy of formation = -0.770 eV per atom
1.0
-2.3000 -0.2313 2.1519
-0.7074 -2.8873 -1.0664
10.2645 -6.3157 10.2917
Mg Al Pd
4 1 5
direct
0.0000 0.0000 0.1972
0.0000 0.0000 0.3989
0.0000 0.0000 0.6011
0.0000 0.0000 0.8028
0.0000 0.0000 0.0000
0.5000 0.5000 0.0907
0.5000 0.5000 0.2972
0.5000 0.5000 0.5000
0.5000 0.5000 0.7028
0.5000 0.5000 0.9093


Entry 3:
PBE MgAlPd2, optimized geometry; energy of formation = -0.838 eV per atom
1.0
-2.6501 0.8838 -1.2139
0.4409 -1.8958 -2.3430
-3.1248 -4.8204 3.3124
Mg Al Pd
1 1 2
direct
0.5000 0.5000 0.5000
0.5000 0.5000 0.0000
0.0000 0.0000 0.7730
0.0000 0.0000 0.2270


Entry 4:
PBE Mg2Al5Pd3, optimized geometry; energy of formation = -0.550 eV per atom
1.0
-1.7316 -3.8621 0.6088
5.4736 -2.7335 -1.7724
4.7066 2.0498 11.3737
Mg Al Pd
4 10 6
direct
0.4722 0.8622 0.9444
0.1940 0.6239 0.3880
0.8060 0.1239 0.6120
0.5278 0.3622 0.0556
0.4100 0.4690 0.8200
0.3009 0.4032 0.6018
0.6991 0.9032 0.3982
0.1231 0.2637 0.2462
0.3007 0.8141 0.6014
0.9323 0.1735 0.8647
0.6993 0.3141 0.3986
0.8769 0.7637 0.7538
0.0677 0.6735 0.1353
0.5900 0.9690 0.1800
0.7730 0.6109 0.5460
0.6255 0.5896 0.2510
0.0338 0.0547 0.0677
0.2270 0.1109 0.4540
0.9662 0.5547 0.9323
0.3745 0.0896 0.7490


Entry 5:
PBE Mg5Al4Pd4, optimized geometry; energy of formation = -0.566 eV per atom
1.0
-0.6977 -3.7870 -0.1098
5.0135 -3.0389 5.3747
-5.7191 -1.0630 5.4240
Mg Al Pd
5 4 4
direct
0.7032 0.9353 0.6583
0.2968 0.0647 0.3417
0.0000 0.0000 0.0000
0.6385 0.6583 0.0647
0.3615 0.3417 0.9353
0.8902 0.5287 0.6909
0.5811 0.3091 0.5287
0.1098 0.4713 0.3091
0.4189 0.6909 0.4713
0.7573 0.2886 0.1969
0.2427 0.7114 0.8031
0.9541 0.8031 0.2886
0.0459 0.1969 0.7114


Entry 6:
PBE MgAl2Pd2, optimized geometry; energy of formation = -0.486 eV per atom
1.0
4.0890 0.0000 0.0000
0.0000 4.0890 0.0000
2.0445 2.0445 5.3807
Mg Al Pd
1 2 2
direct
0.0000 0.0000 0.0000
0.3820 0.3820 0.2359
0.6180 0.6180 0.7641
0.7500 0.2500 0.5000
0.2500 0.7500 0.5000


Entry 7:
PBE MgAlPd4, optimized geometry; energy of formation = -0.659 eV per atom
1.0
2.9460 0.0000 0.0000
0.0000 7.2578 0.0000
0.0000 0.0000 17.2861
Mg Al Pd
4 4 16
direct
0.7500 0.7240 0.8136
0.2500 0.2760 0.1864
0.2500 0.7760 0.3136
0.7500 0.2240 0.6864
0.7500 0.2484 0.4485
0.2500 0.7516 0.5515
0.2500 0.2516 0.9485
0.7500 0.7484 0.0515
0.7500 0.8584 0.6628
0.2500 0.1416 0.3372
0.2500 0.6416 0.1628
0.7500 0.3584 0.8372
0.7500 0.8890 0.4425
0.2500 0.1110 0.5575
0.2500 0.6110 0.9425
0.7500 0.3890 0.0575
0.7500 0.9682 0.9308
0.2500 0.0318 0.0692
0.2500 0.5318 0.4308
0.7500 0.4682 0.5692
0.7500 0.9630 0.2077
0.2500 0.0370 0.7923
0.2500 0.5370 0.7077
0.7500 0.4630 0.2923


Entry 8:
PBE Mg3AlPd, optimized geometry; energy of formation = 0.499 eV per atom
1.0
5.0357 0.0000 0.0000
0.0000 5.0357 0.0000
0.0000 0.0000 5.0357
Mg Al Pd
3 1 1
direct
0.0000 0.5000 0.0000
0.0000 0.0000 0.5000
0.5000 0.0000 0.0000
0.0000 0.0000 0.0000
0.5000 0.5000 0.5000